1.
Here is a geometry-optimized BaIrO3 structure from Alexandria via LeMat-Bulk. Energies are from PBE-GGA.

abc: 4.0443 4.0443 4.0443
angles: 90.00 90.00 90.00
With the nearest neighbours (Å) after each atom.
Fractional positions:
O (0.0000, 0.5000, 0.0000)  2 Ir 2.02
O (0.0000, 0.0000, 0.5000)  2 Ir 2.02
O (0.5000, 0.0000, 0.0000)  2 Ir 2.02
Ba (0.5000, 0.5000, 0.5000)  12 O 2.86
Ir (0.0000, 0.0000, 0.0000)  6 O 2.02

Values from the calculation:
- calculated volume (Å³ per cell) = 66
- ΔE_f (raw) (meV/atom) = -1444

2.
Here is a geometry-optimized CeSmY3Er structure from Alexandria via LeMat-Bulk. Energies are from PBE-GGA.

abc: 5.0529 7.9662 10.0881
angles: 90.00 90.00 108.49
With the nearest neighbours (Å) after each atom.
Fractional positions:
Sm (0.0000, 0.0000, 0.5000)  6 Y 3.55-3.57, 2 Er 3.56, 4 Ce 3.57
Sm (0.0000, 0.0000, 0.0000)  6 Y 3.55-3.57, 2 Er 3.56, 4 Ce 3.57
Er (0.8337, 0.6673, 0.7500)  2 Ce 3.55, 2 Sm 3.56, 8 Y 3.57-3.59
Er (0.1663, 0.3327, 0.2500)  2 Ce 3.55, 2 Sm 3.56, 8 Y 3.57-3.59
Ce (0.5009, 0.0019, 0.2500)  6 Y 3.53-3.58, 2 Er 3.55, 4 Sm 3.57
Ce (0.4991, 0.9981, 0.7500)  6 Y 3.53-3.58, 2 Er 3.55, 4 Sm 3.57
Y (0.8328, 0.6657, 0.2500)  2 Er 3.57, 2 Sm 3.57, 6 Y 3.57-3.58, 2 Ce 3.58
Y (0.6648, 0.3296, 0.0004)  2 Ce 3.53-3.56, 2 Sm 3.55, 3 Er 3.57-3.59, 5 Y 3.57-3.61
Y (0.3352, 0.6704, 0.5004)  2 Ce 3.53-3.56, 2 Sm 3.55, 3 Er 3.57-3.59, 5 Y 3.57-3.61
Y (0.6648, 0.3296, 0.4996)  2 Ce 3.53-3.56, 2 Sm 3.55, 3 Er 3.57-3.59, 5 Y 3.57-3.61
Y (0.3352, 0.6704, 0.9996)  2 Ce 3.53-3.56, 2 Sm 3.55, 3 Er 3.57-3.59, 5 Y 3.57-3.61
Y (0.1672, 0.3343, 0.7500)  2 Er 3.57, 2 Sm 3.57, 6 Y 3.57-3.58, 2 Ce 3.58

Values from the calculation:
- calculated volume (Å³ per cell) = 385
- formation energy (eV/atom) = 0.060

3.
Here is a geometry-optimized Ir5W3 structure from Alexandria via LeMat-Bulk. Energies are from PBE-GGA.

abc: 8.1818 7.7771 7.1723
angles: 94.68 97.62 143.84
With the nearest neighbours (Å) after each atom.
Fractional positions:
Ir (0.9645, 0.1558, 0.2941)  4 W 2.66-2.82, 6 Ir 2.76-2.96
Ir (0.3114, 0.9753, 0.2180)  5 W 2.58-2.82, 3 Ir 2.67-2.85
Ir (0.8009, 0.3064, 0.5000)  4 Ir 2.53-2.67, 2 W 2.61
Ir (0.5934, 0.2573, 0.7820)  5 W 2.58-2.82, 3 Ir 2.67-2.85
Ir (0.3631, 0.6539, 0.1123)  4 W 2.59-2.88, 2 Ir 2.76-2.84
Ir (0.1704, 0.3617, 0.7059)  4 W 2.66-2.82, 6 Ir 2.76-2.96
Ir (0.3243, 0.7659, 0.5000)  1 W 2.45, 4 Ir 2.53-2.74
Ir (0.7508, 0.0416, 0.8877)  4 W 2.59-2.88, 2 Ir 2.76-2.84
Ir (0.0004, 0.8515, 0.7079)  4 W 2.53-2.81, 1 Ir 2.80
Ir (0.7925, 0.6436, 0.2921)  4 W 2.53-2.81, 1 Ir 2.80
W (0.6542, 0.6323, 0.9486)  5 Ir 2.53-2.81, 2 W 2.58
W (0.8524, 0.3867, 0.1552)  8 Ir 2.57-2.82
W (0.1973, 0.7316, 0.8448)  8 Ir 2.57-2.82
W (0.6325, 0.7775, 0.5000)  5 Ir 2.45-2.74, 1 W 2.55
W (0.2056, 0.1837, 0.0514)  5 Ir 2.53-2.81, 2 W 2.58
W (0.3797, 0.2754, 0.5000)  1 W 2.55, 4 Ir 2.58-2.82

Values from the calculation:
- calculated volume (Å³ per cell) = 253
- ΔE to the lowest computed polymorph (meV per atom) = 303.5
- formation energy (eV/atom) = 0.052

4.
Here is a geometry-optimized In2SnTePd structure from Alexandria via LeMat-Bulk. Energies are from PBE-GGA.

abc: 5.2316 5.2316 5.2265
angles: 90.00 90.00 90.00
With the nearest neighbours (Å) after each atom.
Fractional positions:
In (0.0000, 0.5000, 0.0000)  2 Pd 2.62
In (0.5000, 0.0000, 0.0000)  2 Pd 2.62
Sn (0.0000, 0.0000, 0.5000)  2 Pd 2.61
Te (0.5000, 0.5000, 0.5000)  8 In 3.70, 4 Sn 3.70
Pd (0.0000, 0.0000, 0.0000)  2 Sn 2.61, 4 In 2.62

Values from the calculation:
- calculated volume (Å³ per cell) = 143
- ΔE_f (raw) (meV/atom) = -219

5.
Here is a geometry-optimized CaTe2Rh structure from Alexandria via LeMat-Bulk. Energies are from PBE-GGA.

abc: 5.0725 5.0725 3.5561
angles: 90.00 90.00 90.00
With the nearest neighbours (Å) after each atom.
Fractional positions:
Te (0.0000, 0.0000, 0.0000)  4 Rh 3.10, 4 Ca 3.10
Te (0.5000, 0.5000, 0.0000)  4 Ca 3.10, 4 Rh 3.10
Rh (0.0000, 0.5000, 0.5000)  8 Te 3.10
Ca (0.5000, 0.0000, 0.5000)  8 Te 3.10

Values from the calculation:
- calculated volume (Å³ per cell) = 91
- ΔE to the lowest computed polymorph (meV per atom) = 300.2
- ΔE_f (raw) (meV/atom) = -514

6.
Here is a geometry-optimized Y6Ho3In structure from Alexandria via LeMat-Bulk. Energies are from PBE-GGA.

abc: 5.5575 9.6542 12.7579
angles: 114.48 90.00 90.00
With the nearest neighbours (Å) after each atom.
Fractional positions:
Ho (0.2500, 0.1552, 0.6313)  9 Y 3.39-3.62, 2 Ho 3.54
Ho (0.7500, 0.2009, 0.9725)  11 Y 3.46-3.87, 1 Ho 3.52
Ho (0.2500, 0.6231, 0.2205)  8 Y 3.34-3.63, 3 Ho 3.52-3.54
Ho (0.7500, 0.8448, 0.3687)  9 Y 3.39-3.62, 2 Ho 3.54
Ho (0.7500, 0.3769, 0.7795)  8 Y 3.34-3.63, 3 Ho 3.52-3.54
Ho (0.2500, 0.7991, 0.0275)  11 Y 3.46-3.87, 1 Ho 3.52
Y (0.2500, 0.7491, 0.5085)  3 In 3.24-3.36, 4 Ho 3.36-3.62, 2 Y 3.61
Y (0.7500, 0.9781, 0.6672)  1 In 3.19, 4 Ho 3.39-3.51, 2 Y 3.44
Y (0.7500, 0.7852, 0.8617)  1 In 3.22, 2 Ho 3.46, 2 Y 3.48
Y (0.7500, 0.6090, 0.0706)  7 Ho 3.34-3.61, 4 Y 3.50-3.71
Y (0.2500, 0.3910, 0.9294)  7 Ho 3.34-3.61, 4 Y 3.50-3.71
Y (0.2500, 0.5443, 0.7000)  3 In 3.31-3.35, 3 Ho 3.49-3.57, 2 Y 3.66
Y (0.7500, 0.2509, 0.4915)  3 In 3.24-3.36, 4 Ho 3.36-3.62, 2 Y 3.61
Y (0.2500, 0.0219, 0.3328)  1 In 3.19, 4 Ho 3.39-3.51, 2 Y 3.44
Y (0.2500, 0.9776, 0.8260)  8 Y 3.44-3.81, 4 Ho 3.54-3.64
Y (0.7500, 0.0224, 0.1740)  8 Y 3.44-3.81, 4 Ho 3.54-3.64
Y (0.2500, 0.2148, 0.1383)  1 In 3.22, 2 Ho 3.46, 2 Y 3.48
Y (0.7500, 0.4557, 0.3000)  3 In 3.31-3.35, 3 Ho 3.49-3.57, 2 Y 3.66
In (0.2500, 0.3820, 0.4149)  8 Y 3.19-3.36
In (0.7500, 0.6180, 0.5851)  8 Y 3.19-3.36

Values from the calculation:
- calculated volume (Å³ per cell) = 623
- ΔE to the lowest computed polymorph (meV per atom) = 0.0
- formation energy (eV/atom) = -0.082

7.
Here is a geometry-optimized Ac5La2Nd4 structure from Alexandria via LeMat-Bulk. Energies are from PBE-GGA.

abc: 3.7427 12.7156 16.0991
angles: 144.28 90.00 90.00
With the nearest neighbours (Å) after each atom.
Fractional positions:
Ac (0.0000, 0.7762, 0.8016)  4 Ac 3.70-3.76, 6 Nd 3.84-3.93
Ac (0.0000, 0.5000, 0.0000)  4 Ac 3.59-3.74, 2 La 3.60, 4 Nd 3.93
Ac (0.0000, 0.4101, 0.7230)  2 La 3.54-3.92, 4 Ac 3.59-3.74, 4 Nd 3.81-3.91
Ac (0.0000, 0.2238, 0.1984)  4 Ac 3.70-3.76, 6 Nd 3.84-3.93
Ac (0.0000, 0.5899, 0.2770)  2 La 3.54-3.92, 4 Ac 3.59-3.74, 4 Nd 3.81-3.91
Nd (0.5000, 0.6781, 0.5354)  4 Nd 3.66-3.80, 2 La 3.69, 6 Ac 3.81-3.93
Nd (0.5000, 0.3219, 0.4646)  4 Nd 3.66-3.80, 2 La 3.69, 6 Ac 3.81-3.93
Nd (0.5000, 0.8433, 0.0748)  3 Nd 3.74-3.80, 2 La 3.80, 8 Ac 3.90-4.18
Nd (0.5000, 0.1567, 0.9252)  3 Nd 3.74-3.80, 2 La 3.80, 8 Ac 3.90-4.18
La (0.0000, 0.9724, 0.3545)  3 Ac 3.54-3.92, 4 Nd 3.69-3.80, 2 La 3.74
La (0.0000, 0.0276, 0.6455)  3 Ac 3.54-3.92, 4 Nd 3.69-3.80, 2 La 3.74

Values from the calculation:
- calculated volume (Å³ per cell) = 447
- ΔE to the lowest computed polymorph (meV per atom) = 0.0
- formation energy (eV/atom) = 0.129

8.
Here is a geometry-optimized VFeNi structure from Alexandria via LeMat-Bulk. Energies are from PBE-GGA.

abc: 4.0255 4.9304 4.0262
angles: 90.00 119.99 90.00
With the nearest neighbours (Å) after each atom.
Fractional positions:
Ni (0.3332, 0.7500, 0.1664)  5 V 2.32-2.47
Ni (0.6668, 0.2500, 0.8336)  5 V 2.32-2.47
Fe (0.0000, 0.0000, 0.5000)  2 Fe 2.47, 6 V 2.63, 6 Ni 2.63
Fe (0.0000, 0.5000, 0.5000)  2 Fe 2.47, 6 V 2.63, 6 Ni 2.63
V (0.6665, 0.7500, 0.8330)  5 Ni 2.32-2.47
V (0.3335, 0.2500, 0.1670)  5 Ni 2.32-2.47

Values from the calculation:
- calculated volume (Å³ per cell) = 69
- ΔE to the lowest computed polymorph (meV per atom) = 0.0
- formation energy (eV/atom) = -0.089

9.
Here is a geometry-optimized TmTcN2 structure from Alexandria via LeMat-Bulk. Energies are from PBE-GGA.

abc: 3.1016 5.5900 10.6775
angles: 90.00 90.00 90.00
With the nearest neighbours (Å) after each atom.
Fractional positions:
N (0.2500, 0.2459, 0.9982)  3 Tc 2.06-2.14
N (0.2500, 0.7459, 0.5018)  3 Tc 2.06-2.14
N (0.2500, 0.3298, 0.2553)  2 Tc 2.14-2.17, 4 Tm 2.31-2.39
N (0.7500, 0.2541, 0.4982)  3 Tc 2.06-2.14
N (0.7500, 0.7541, 0.0018)  3 Tc 2.06-2.14
N (0.7500, 0.6702, 0.7447)  2 Tc 2.14-2.17, 4 Tm 2.31-2.39
N (0.7500, 0.1702, 0.7553)  2 Tc 2.14-2.17, 4 Tm 2.31-2.39
N (0.2500, 0.8298, 0.2447)  2 Tc 2.14-2.17, 4 Tm 2.31-2.39
Tm (0.7500, 0.0761, 0.1487)  7 N 2.31-2.43
Tm (0.7500, 0.5761, 0.3513)  7 N 2.31-2.43
Tm (0.2500, 0.9239, 0.8513)  7 N 2.31-2.43
Tm (0.2500, 0.4239, 0.6487)  7 N 2.31-2.43
Tc (0.2500, 0.0630, 0.4030)  5 N 2.06-2.17
Tc (0.7500, 0.9370, 0.5970)  5 N 2.06-2.17
Tc (0.2500, 0.5630, 0.0970)  5 N 2.06-2.17
Tc (0.7500, 0.4370, 0.9030)  5 N 2.06-2.17

Values from the calculation:
- calculated volume (Å³ per cell) = 185
- ΔE to the lowest computed polymorph (meV per atom) = 0.0
- ΔE_f (raw) (meV/atom) = -955

10.
Here is a geometry-optimized PbSCl structure from Alexandria via LeMat-Bulk. Energies are from PBE-GGA.

abc: 5.2365 5.2365 8.1040
angles: 94.61 94.61 51.86
With the nearest neighbours (Å) after each atom.
Fractional positions:
Pb (0.3253, 0.3253, 0.7478)  3 S 2.97, 4 Cl 3.00-3.28
Pb (0.6747, 0.6747, 0.2522)  3 S 2.97, 4 Cl 3.00-3.28
Cl (0.3596, 0.3596, 0.1540)  4 Pb 3.00-3.28
Cl (0.6404, 0.6404, 0.8460)  4 Pb 3.00-3.28
S (0.1024, 0.1024, 0.4635)  1 S 2.07
S (0.8976, 0.8976, 0.5365)  1 S 2.07

Values from the calculation:
- calculated volume (Å³ per cell) = 174
- ΔE to the lowest computed polymorph (meV per atom) = 0.0
- ΔE_f (raw) (meV/atom) = -739

11.
Here is a geometry-optimized Cr2FeP structure from Alexandria via LeMat-Bulk. Energies are from PBE-GGA.

abc: 4.3284 4.3284 2.6340
angles: 90.00 90.00 116.22
With the nearest neighbours (Å) after each atom.
Fractional positions:
P (0.0000, 0.5000, 0.5000)  2 Fe 2.29, 8 Cr 2.53
Fe (0.5000, 0.0000, 0.5000)  2 P 2.29, 8 Cr 2.53
Cr (0.5000, 0.5000, 0.0000)  2 Cr 2.29, 4 P 2.53, 4 Fe 2.53
Cr (0.0000, 0.0000, 0.0000)  2 Cr 2.29, 4 Fe 2.53, 4 P 2.53

Values from the calculation:
- calculated volume (Å³ per cell) = 44
- formation energy (eV/atom) = -0.063

12.
Here is a geometry-optimized CaSnHgSe2 structure from Alexandria via LeMat-Bulk. Energies are from PBE-GGA.

abc: 5.4814 5.5261 5.4814
angles: 90.00 90.00 90.00
With the nearest neighbours (Å) after each atom.
Fractional positions:
Hg (0.0000, 0.5000, 0.0000)  2 Ca 2.76
Se (0.5000, 0.0000, 0.0000)  2 Ca 2.74
Se (0.0000, 0.0000, 0.5000)  2 Ca 2.74
Ca (0.0000, 0.0000, 0.0000)  4 Se 2.74, 2 Hg 2.76
Sn (0.5000, 0.5000, 0.5000)  4 Hg 3.88, 8 Se 3.89

Values from the calculation:
- calculated volume (Å³ per cell) = 166
- ΔE_f (raw) (meV/atom) = -188